{"formula": "Na2HfGaPt", "functional": "GGA-PBE", "state": "relaxed", "cell": [[4.844, 0.000, 0.000], [0.000, 5.220, 0.000], [0.000, 0.000, 4.844]], "species": ["Na", "Na", "Pt", "Ga", "Hf"], "fractional_positions": [[0.500, 0.000, 0.000], [0.000, 0.000, 0.500], [0.500, 0.500, 0.500], [0.000, 0.000, 0.000], [0.000, 0.500, 0.000]], "spacegroup": "P4/mmm (123)", "volume_a3_per_atom": 24.50, "e_tot_ev_per_atom": -3.610}

---

{"formula": "RbNaHf2Ga", "functional": "GGA-PBE", "state": "relaxed", "cell": [[-2.544, 4.287, 1.950], [-4.690, -2.589, -0.426], [0.600, -1.904, 4.967]], "species": ["Hf", "Hf", "Na", "Ga", "Rb"], "fractional_positions": [[0.000, 0.000, 0.500], [0.500, 0.000, 0.000], [0.000, 0.000, 0.000], [0.500, 0.500, 0.500], [0.000, 0.500, 0.000]], "spacegroup": "P4/mmm (123)", "volume_a3_per_atom": 30.80, "e_tot_ev_per_atom": -3.279, "relative_energy_mev_per_atom": 884.0}

---

{"formula": "RbNaHf2Ga", "functional": "GGA-PBE", "state": "relaxed", "cell": [[5.131, 0.000, 0.000], [0.000, 6.647, 0.000], [0.000, 0.000, 5.131]], "species": ["Hf", "Hf", "Na", "Ga", "Rb"], "fractional_positions": [[0.000, 0.000, 0.500], [0.500, 0.000, 0.000], [0.500, 0.500, 0.500], [0.000, 0.000, 0.000], [0.000, 0.500, 0.000]], "spacegroup": "P4/mmm (123)", "volume_a3_per_atom": 35.00, "e_tot_ev_per_atom": -4.163, "relative_energy_mev_per_atom": 0.0}

---

{"formula": "NaHf2GaRe", "functional": "GGA-PBE", "state": "relaxed", "cell": [[4.997, 0.000, 0.000], [0.000, 4.396, 0.000], [0.000, 0.000, 4.997]], "species": ["Hf", "Hf", "Re", "Ga", "Na"], "fractional_positions": [[0.000, 0.000, 0.500], [0.500, 0.000, 0.000], [0.500, 0.500, 0.500], [0.000, 0.000, 0.000], [0.000, 0.500, 0.000]], "spacegroup": "P4/mmm (123)", "volume_a3_per_atom": 21.96, "e_tot_ev_per_atom": -6.045}